(1)
PBE SrLi6Al6, optimized geometry; space-group type = Immm, No. 71
1.0
5.113 0.000 2.044
2.530 6.679 1.087
0.078 -0.090 7.223
Sr Li Al
1 6 6
direct
0.000 0.000 0.000
0.354 0.646 0.646
0.646 0.354 0.354
0.000 0.350 0.650
0.000 0.650 0.350
0.296 0.204 0.204
0.704 0.796 0.796
0.000 0.500 0.000
0.500 0.500 0.000
0.000 0.000 0.500
0.500 0.000 0.500
0.500 0.777 0.223
0.500 0.223 0.777

***

(2)
PBE PrCu2Pt6, optimized geometry; space-group type = Fd-3m, No. 227
1.0
7.993 0.000 0.000
3.997 6.922 0.000
3.997 2.307 6.526
Pr Cu Pt
2 4 12
direct
0.500 0.500 0.500
0.750 0.750 0.750
0.125 0.125 0.125
0.125 0.625 0.125
0.125 0.125 0.625
0.625 0.125 0.125
0.251 0.251 0.749
0.749 0.749 0.251
0.251 0.749 0.251
0.251 0.749 0.749
0.501 0.501 0.999
0.501 0.999 0.999
0.749 0.251 0.749
0.999 0.999 0.501
0.501 0.999 0.501
0.999 0.501 0.501
0.749 0.251 0.251
0.999 0.501 0.999

***

(3)
PBE LaRhBr2, optimized geometry; energy relative to the lowest polymorph listed for this composition = 669 meV/atom; space-group type = P4/mmm, No. 123; formation energy from raw total energies = -0.4661 eV/atom
1.0
-0.791 -3.508 -1.210
-0.844 -1.035 3.552
-6.271 1.752 -0.979
Rh Br La
1 2 1
direct
0.500 0.500 0.750
0.000 0.000 0.001
0.000 0.000 0.499
0.500 0.500 0.250

***

(4)
PBE YAlAs2P, optimized geometry; space-group type = P4/mmm, No. 123
1.0
4.604 0.000 0.000
0.000 5.866 0.000
0.000 0.000 4.604
Y P As Al
1 1 2 1
direct
0.000 0.500 0.000
0.500 0.500 0.500
0.000 0.000 0.500
0.500 0.000 0.000
0.000 0.000 0.000

***

| no. | VASP energy (eV for the cell shown) |
| --- | --- |
| 1 | -37.7 |
| 2 | -98.0 |
| 3 | -17.5 |
| 4 | -23.2 |